(1)
A plane-wave DFT calculation with PBE-GGA was carried out for a geometry-optimized Sc12Ir3Br16 structure.

Output
Space group ... P-1, No. 2
Spin magnetization ... 0.99 μB/cell
Calculated volume ... 869.3 Å³/f.u.
Electronic total energy ... -5.63 eV/atom

Cell and atoms, written as CIF:
```
data_Sc12Ir3Br16
_chemical_formula_sum 'Sc12 Ir3 Br16'
_symmetry_space_group_name_H-M 'P 1'
_symmetry_Int_Tables_number 1
_symmetry_space_group_name_Hall 'P 1'
_cell_length_a 8.878
_cell_length_b 10.628
_cell_length_c 11.233
_cell_angle_alpha 116.84
_cell_angle_beta 102.06
_cell_angle_gamma 101.74
loop_
_atom_site_label
_atom_site_fract_x
_atom_site_fract_y
_atom_site_fract_z
Br1 0.065 0.247 0.095
Br2 0.599 0.246 0.095
Br3 0.924 0.586 0.146
Br4 0.442 0.565 0.185
Br5 0.801 0.007 0.203
Br6 0.329 0.071 0.236
Br7 0.312 0.843 0.460
Br8 0.838 0.843 0.465
Br9 0.162 0.157 0.535
Br10 0.688 0.157 0.540
Br11 0.671 0.929 0.764
Br12 0.199 0.993 0.797
Br13 0.558 0.435 0.815
Br14 0.076 0.414 0.854
Br15 0.401 0.754 0.905
Br16 0.935 0.753 0.905
Ir1 0.340 0.500 0.499
Ir2 0.000 0.500 0.500
Ir3 0.660 0.500 0.501
Sc1 0.396 0.343 0.250
Sc2 0.140 0.538 0.312
Sc3 0.776 0.538 0.312
Sc4 0.078 0.246 0.343
Sc5 0.714 0.245 0.344
Sc6 0.546 0.711 0.478
Sc7 0.454 0.289 0.522
Sc8 0.286 0.755 0.656
Sc9 0.922 0.754 0.657
Sc10 0.224 0.462 0.688
Sc11 0.860 0.462 0.688
Sc12 0.604 0.657 0.750
```

(2)
A plane-wave DFT calculation with PBE-GGA was carried out for a geometry-optimized PmSiH2O4 structure.

Output
Excess energy over the best structure of this formula in the dataset ... 55 meV per atom
Space group ... P2_1/m, No. 11
Spin magnetization ... 1.78 μB/cell
Calculated volume ... 92.2 Å³/f.u.
Electronic total energy ... -6.56 eV/atom

Cell and atoms, written as CIF:
```
data_PmSiH2O4
_chemical_formula_sum 'Pm2 Si2 H4 O8'
_symmetry_space_group_name_H-M 'P 1'
_symmetry_Int_Tables_number 1
_symmetry_space_group_name_Hall 'P 1'
_cell_length_a 6.745
_cell_length_b 6.412
_cell_length_c 4.827
_cell_angle_alpha 90.00
_cell_angle_beta 118.01
_cell_angle_gamma 90.00
loop_
_atom_site_label
_atom_site_fract_x
_atom_site_fract_y
_atom_site_fract_z
H1 0.430 0.750 0.117
H2 0.000 0.000 0.500
H3 0.000 0.500 0.500
H4 0.570 0.250 0.883
O1 0.564 0.250 0.136
O2 0.089 0.548 0.342
O3 0.089 0.952 0.342
O4 0.451 0.750 0.365
O5 0.549 0.250 0.635
O6 0.911 0.048 0.658
O7 0.911 0.452 0.658
O8 0.436 0.750 0.864
Pm1 0.208 0.250 0.136
Pm2 0.792 0.750 0.864
Si1 0.264 0.750 0.491
Si2 0.736 0.250 0.509
```

(3)
A plane-wave DFT calculation with PBE-GGA was carried out for a geometry-optimized Ba4Cu8Se13 structure.

Output
Space group ... C2/c, No. 15
Calculated volume ... 580.7 Å³/f.u.
Electronic total energy ... -4.06 eV/atom

Cell and atoms, written as CIF:
```
data_Ba4Cu8Se13
_chemical_formula_sum 'Ba8 Cu16 Se26'
_symmetry_space_group_name_H-M 'P 1'
_symmetry_Int_Tables_number 1
_symmetry_space_group_name_Hall 'P 1'
_cell_length_a 6.501
_cell_length_b 6.501
_cell_length_c 27.521
_cell_angle_alpha 92.21
_cell_angle_beta 92.21
_cell_angle_gamma 89.97
loop_
_atom_site_label
_atom_site_fract_x
_atom_site_fract_y
_atom_site_fract_z
Ba1 0.254 0.721 0.024
Ba2 0.283 0.203 0.204
Ba3 0.797 0.717 0.296
Ba4 0.279 0.746 0.476
Ba5 0.721 0.254 0.524
Ba6 0.203 0.283 0.704
Ba7 0.717 0.797 0.796
Ba8 0.746 0.279 0.976
Cu1 0.967 0.485 0.118
Cu2 0.571 0.485 0.118
Cu3 0.969 0.890 0.120
Cu4 0.570 0.889 0.121
Cu5 0.111 0.430 0.379
Cu6 0.110 0.031 0.380
Cu7 0.515 0.429 0.382
Cu8 0.515 0.033 0.382
Cu9 0.485 0.967 0.618
Cu10 0.485 0.571 0.618
Cu11 0.890 0.969 0.620
Cu12 0.889 0.570 0.621
Cu13 0.430 0.111 0.879
Cu14 0.031 0.110 0.880
Cu15 0.429 0.515 0.882
Cu16 0.033 0.515 0.882
Se1 0.759 0.681 0.056
Se2 0.452 0.177 0.074
Se3 0.072 0.177 0.074
Se4 0.274 0.690 0.151
Se5 0.780 0.391 0.189
Se6 0.781 0.008 0.190
Se7 0.291 0.709 0.250
Se8 0.992 0.219 0.310
Se9 0.609 0.220 0.311
Se10 0.310 0.726 0.349
Se11 0.823 0.928 0.426
Se12 0.823 0.548 0.426
Se13 0.319 0.241 0.444
Se14 0.681 0.759 0.556
Se15 0.177 0.452 0.574
Se16 0.177 0.072 0.574
Se17 0.690 0.274 0.651
Se18 0.391 0.780 0.689
Se19 0.008 0.781 0.690
Se20 0.709 0.291 0.750
Se21 0.219 0.992 0.810
Se22 0.220 0.609 0.811
Se23 0.726 0.310 0.849
Se24 0.928 0.823 0.926
Se25 0.548 0.823 0.926
Se26 0.241 0.319 0.944
```

(4)
A plane-wave DFT calculation with PBE-GGA was carried out for a geometry-optimized TaZnNO structure.

Output
Excess energy over the best structure of this formula in the dataset ... 0 meV per atom
Space group ... Pca2_1, No. 29
Spin magnetization ... 0.00 μB/cell
Calculated volume ... 47.8 Å³/f.u.
Electronic total energy ... -7.63 eV/atom

Cell and atoms, written as CIF:
```
data_TaZnNO
_chemical_formula_sum 'Ta4 Zn4 N4 O4'
_symmetry_space_group_name_H-M 'P 1'
_symmetry_Int_Tables_number 1
_symmetry_space_group_name_Hall 'P 1'
_cell_length_a 4.323
_cell_length_b 5.878
_cell_length_c 7.523
_cell_angle_alpha 90.00
_cell_angle_beta 90.00
_cell_angle_gamma 90.00
loop_
_atom_site_label
_atom_site_fract_x
_atom_site_fract_y
_atom_site_fract_z
N1 0.550 0.070 0.149
N2 0.050 0.430 0.149
N3 0.550 0.570 0.851
N4 0.050 0.930 0.851
O1 0.551 0.560 0.374
O2 0.051 0.940 0.374
O3 0.551 0.060 0.626
O4 0.051 0.440 0.626
Ta1 0.050 0.078 0.107
Ta2 0.550 0.422 0.107
Ta3 0.050 0.578 0.893
Ta4 0.550 0.922 0.893
Zn1 0.051 0.592 0.384
Zn2 0.551 0.908 0.384
Zn3 0.051 0.092 0.616
Zn4 0.551 0.408 0.616
```

(5)
A plane-wave DFT calculation with PBE-GGA was carried out for a geometry-optimized HfBePO structure.

Output
Excess energy over the best structure of this formula in the dataset ... 0 meV per atom
Space group ... Pmc2_1, No. 26
Spin magnetization ... 0.03 μB/cell
Calculated volume ... 56.4 Å³/f.u.
Electronic total energy ... -7.56 eV/atom

Cell and atoms, written as CIF:
```
data_HfBePO
_chemical_formula_sum 'Hf2 Be2 P2 O2'
_symmetry_space_group_name_H-M 'P 1'
_symmetry_Int_Tables_number 1
_symmetry_space_group_name_Hall 'P 1'
_cell_length_a 3.770
_cell_length_b 5.891
_cell_length_c 5.081
_cell_angle_alpha 90.00
_cell_angle_beta 90.00
_cell_angle_gamma 90.00
loop_
_atom_site_label
_atom_site_fract_x
_atom_site_fract_y
_atom_site_fract_z
Be1 0.500 0.903 0.056
Be2 0.500 0.097 0.556
Hf1 0.000 0.691 0.406
Hf2 0.000 0.309 0.906
O1 0.500 0.854 0.385
O2 0.500 0.146 0.885
P1 0.000 0.256 0.406
P2 0.000 0.744 0.906
```

(6)
A plane-wave DFT calculation with PBE-GGA was carried out for a geometry-optimized ScBeTcTe structure.

Output
Excess energy over the best structure of this formula in the dataset ... 162 meV per atom
Space group ... F-43m, No. 216
Spin magnetization ... 0.01 μB/cell
Calculated volume ... 65.4 Å³/f.u.
Electronic total energy ... -5.73 eV/atom

Cell and atoms, written as CIF:
```
data_ScBeTcTe
_chemical_formula_sum 'Sc1 Be1 Tc1 Te1'
_symmetry_space_group_name_H-M 'P 1'
_symmetry_Int_Tables_number 1
_symmetry_space_group_name_Hall 'P 1'
_cell_length_a 4.523
_cell_length_b 4.523
_cell_length_c 4.523
_cell_angle_alpha 60.00
_cell_angle_beta 60.00
_cell_angle_gamma 60.00
loop_
_atom_site_label
_atom_site_fract_x
_atom_site_fract_y
_atom_site_fract_z
Be1 0.750 0.750 0.750
Sc1 0.000 0.000 0.000
Tc1 0.250 0.250 0.250
Te1 0.500 0.500 0.500
```

Q: Number 3 is which compound?
A: Ba4Cu8Se13